Rb2Ac2HfSe6: relaxed, PBE.

abc: 7.520 7.520 8.552
angles: 98.77 98.77 118.92
Fractional positions:
Rb 0.171 0.829 0.000
Rb 0.829 0.171 0.000
Ac 0.334 0.666 0.500
Ac 0.666 0.334 0.500
Hf 0.000 0.000 0.500
Se 0.066 0.363 0.694
Se 0.225 0.225 0.307
Se 0.363 0.066 0.694
Se 0.637 0.934 0.306
Se 0.775 0.775 0.693
Se 0.934 0.637 0.306

Calculated values
Raw formation energy = -1646 meV per atom



Ho3InHS: relaxed, PBE.

abc: 8.197 3.940 8.565
angles: 90.00 101.31 90.00
Fractional positions:
Ho 0.066 0.250 0.324
Ho 0.320 0.250 0.960
Ho 0.380 0.750 0.625
Ho 0.620 0.250 0.375
Ho 0.680 0.750 0.040
Ho 0.934 0.750 0.676
In 0.329 0.750 0.248
In 0.671 0.250 0.752
H 0.417 0.750 0.898
H 0.583 0.250 0.102
S 0.155 0.250 0.648
S 0.845 0.750 0.352

Calculated values
Final energy = -4.929 eV per atom



PrSmLuSn: relaxed, PBE.

abc: 5.497 5.497 5.497
angles: 60.00 60.00 60.00
Fractional positions:
Pr 0.000 0.000 0.000
Sm 0.500 0.500 0.500
Lu 0.250 0.250 0.250
Sn 0.750 0.750 0.750

Calculated values
Final energy = -4.760 eV per atom



Pm2Y6Tm5: relaxed, PBE.

abc: 11.695 20.122 3.578
angles: 90.00 90.00 90.00
Fractional positions:
Pm 0.163 0.214 0.000
Pm 0.337 0.714 0.000
Pm 0.663 0.286 0.000
Pm 0.837 0.786 0.000
Y 0.057 0.920 0.000
Y 0.085 0.632 0.000
Y 0.175 0.372 0.500
Y 0.325 0.872 0.500
Y 0.415 0.132 0.000
Y 0.443 0.420 0.000
Y 0.557 0.580 0.000
Y 0.585 0.868 0.000
Y 0.675 0.128 0.500
Y 0.825 0.628 0.500
Y 0.915 0.368 0.000
Y 0.943 0.080 0.000
Tm 0.000 0.500 0.500
Tm 0.096 0.775 0.500
Tm 0.199 0.049 0.500
Tm 0.301 0.549 0.500
Tm 0.404 0.275 0.500
Tm 0.500 0.000 0.500
Tm 0.596 0.725 0.500
Tm 0.699 0.451 0.500
Tm 0.801 0.951 0.500
Tm 0.904 0.225 0.500

Calculated values
Final energy = -5.330 eV per atom



NpPd6Au5: relaxed, PBE.

abc: 7.684 7.684 7.684
angles: 147.70 119.72 70.06
Fractional positions:
Np 0.000 0.000 0.000
Pd 0.083 0.836 0.247
Pd 0.248 0.500 0.748
Pd 0.411 0.164 0.247
Pd 0.589 0.836 0.753
Pd 0.752 0.500 0.252
Pd 0.917 0.164 0.753
Au 0.171 0.671 0.500
Au 0.334 0.334 0.000
Au 0.500 0.000 0.500
Au 0.666 0.666 0.000
Au 0.829 0.329 0.500

Calculated values
Final energy = -5.260 eV per atom



AcNd4Rh: relaxed, PBE.

abc: 9.850 9.850 9.850
angles: 143.75 133.62 60.25
Fractional positions:
Ac 0.200 0.200 0.000
Ac 0.800 0.800 0.000
Nd 0.139 0.389 0.751
Nd 0.209 0.000 0.209
Nd 0.334 0.834 0.500
Nd 0.362 0.611 0.751
Nd 0.638 0.389 0.249
Nd 0.666 0.166 0.500
Nd 0.791 0.000 0.791
Nd 0.861 0.611 0.249
Rh 0.500 0.270 0.770
Rh 0.500 0.730 0.230

Calculated values
Final energy = -5.273 eV per atom



| no. | total magnetic moment (Bohr magnetons per cell) |
| --- | --- |
| 1 | 0.0 |
| 2 | 0.0 |
| 3 | 0.0 |
| 4 | 0.0 |
| 5 | 3.0 |
| 6 | 0.0 |